Entry 1:
# CrGa | Alexandria via LeMat-Bulk | GGA-PBE | optimized geometry
data_CrGa
_chemical_formula_sum 'Cr8 Ga8'
_cell_length_a 7.574
_cell_length_b 7.574
_cell_length_c 7.574
_cell_angle_alpha 90.00
_cell_angle_beta 90.00
_cell_angle_gamma 90.00
_space_group_name_H-M_alt 'I -4 3 m'
_space_group_IT_number 217
_space_group_name_Hall 'I -4 2 3'
loop_
_atom_site_label
_atom_site_fract_x
_atom_site_fract_y
_atom_site_fract_z
Cr1 0.103 0.103 0.103
Ga1 0.209 0.209 0.791
# - electronic total energy (eV per atom) = -5.293
# - ΔH_f (0 K) (eV/atom) = 1.03



Entry 2:
# MnTc2NiH | Alexandria via LeMat-Bulk | GGA-PBE | optimized geometry
data_MnTc2NiH
_chemical_formula_sum 'Mn1 Tc2 Ni1 H1'
_cell_length_a 3.837
_cell_length_b 3.837
_cell_length_c 3.615
_cell_angle_alpha 90.00
_cell_angle_beta 90.00
_cell_angle_gamma 90.00
_space_group_name_H-M_alt 'P 4/m m m'
_space_group_IT_number 123
_space_group_name_Hall '-P 4 2'
loop_
_atom_site_label
_atom_site_fract_x
_atom_site_fract_y
_atom_site_fract_z
Mn1 0.000 0.000 0.000
Tc1 0.000 0.500 0.500
Ni1 0.500 0.500 0.000
H1 0.500 0.500 0.500
# - electronic total energy (eV per atom) = -7.700
# - energy relative to the lowest polymorph listed for this composition (meV/atom) = 39



Entry 3:
# TbPm3Pd12 | Alexandria via LeMat-Bulk | GGA-PBE | optimized geometry
data_TbPm3Pd12
_chemical_formula_sum 'Tb1 Pm3 Pd12'
_cell_length_a 4.164
_cell_length_b 4.164
_cell_length_c 16.764
_cell_angle_alpha 90.00
_cell_angle_beta 90.00
_cell_angle_gamma 90.00
_space_group_name_H-M_alt 'P 4/m m m'
_space_group_IT_number 123
_space_group_name_Hall '-P 4 2'
loop_
_atom_site_label
_atom_site_fract_x
_atom_site_fract_y
_atom_site_fract_z
Tb1 0.000 0.000 0.000
Pm1 0.000 0.000 0.248
Pm2 0.000 0.000 0.500
Pd1 0.000 0.500 0.122
Pd2 0.000 0.500 0.374
Pd3 0.500 0.500 0.000
Pd4 0.500 0.500 0.249
Pd5 0.500 0.500 0.500
# - electronic total energy (eV per atom) = -5.885
# - ΔH_f (0 K) (eV/atom) = -0.81



Entry 4:
# ReIrBr2 | Alexandria via LeMat-Bulk | GGA-PBE | optimized geometry
data_ReIrBr2
_chemical_formula_sum 'Re2 Ir2 Br4'
_cell_length_a 2.925
_cell_length_b 5.448
_cell_length_c 9.059
_cell_angle_alpha 90.00
_cell_angle_beta 90.00
_cell_angle_gamma 90.00
_space_group_name_H-M_alt 'C m m m'
_space_group_IT_number 65
_space_group_name_Hall '-C 2 2'
loop_
_atom_site_label
_atom_site_fract_x
_atom_site_fract_y
_atom_site_fract_z
Re1 0.000 0.000 0.000
Ir1 0.000 0.000 0.500
Br1 0.000 0.500 0.238
# - electronic total energy (eV per atom) = -4.875
# - E_form (uncorrected) (eV per atom) = 1.288
# - energy relative to the lowest polymorph listed for this composition (meV/atom) = 1038



Entry 5:
# Li2PmP2O7 | Alexandria via LeMat-Bulk | GGA-PBE | optimized geometry
data_Li2PmP2O7
_chemical_formula_sum 'Li6 Pm3 P6 O21'
_cell_length_a 5.2398
_cell_length_b 5.2398
_cell_length_c 20.8502
_cell_angle_alpha 90.00
_cell_angle_beta 90.00
_cell_angle_gamma 120.00
_space_group_name_H-M_alt 'R 3 2'
_space_group_IT_number 155
_space_group_name_Hall 'R 3 2"'
loop_
_atom_site_label
_atom_site_fract_x
_atom_site_fract_y
_atom_site_fract_z
Li1 0.0000 0.0000 0.2291
Pm1 0.0000 0.0000 0.0000
P1 0.0000 0.0000 0.4234
O1 0.0000 0.0000 0.5000
O2 0.0222 0.2914 0.4021
# - electronic total energy (eV per atom) = -6.832
# - E_form (uncorrected) (eV per atom) = -2.323



Which formula does entry 3 have? TbPm3Pd12



Among the records above, which one has the lowest electronic total energy? MnTc2NiH



Which value of electronic total energy does entry 2 give? -7.700 eV per atom



Among the records above, which one has the highest electronic total energy? ReIrBr2